Entry from Alexandria via LeMat-Bulk: a geometry-optimized CrIn2SbO6 structure (PBE+U).

Raw total energy (eV/atom): -6.17
Space-group type: No. 146

Cell: 5.536 5.536 5.867 Å, 61.85 61.85 60.00°
Site moments in Bohr magnetons follow the coordinates.
Fractional positions:
O (0.441, 0.722, 0.744)  -0.02
O (0.093, 0.441, 0.744)  -0.02
O (0.197, 0.904, 0.267)  -0.03
O (0.722, 0.093, 0.744)  -0.02
O (0.904, 0.633, 0.267)  -0.03
O (0.633, 0.197, 0.267)  -0.03
Sb (0.305, 0.305, 0.085)  0.00
In (0.518, 0.518, 0.446)  0.01
In (0.029, 0.029, 0.912)  0.01
Cr (0.820, 0.820, 0.541)  3.02